DFT (PBE-GGA) results for crystalline LuHfGaNi at its relaxed geometry.

Energy of formation (eV per formula unit): -1.48
Total DFT energy (no corrections) (eV per atom): -6.1914
Magnetization (Bohr magnetons per cell): 0.0

a = 4.716 Å, b = 4.716 Å, c = 4.716 Å
α = 60.00°, β = 60.00°, γ = 60.00°
Positions (direct):
1 Ni 0.250 0.250 0.250
2 Ga 0.750 0.750 0.750
3 Hf 0.500 0.500 0.500
4 Lu 0.000 0.000 0.000